# HoOs2, relaxed, DFT PBE
data_HoOs2
_chemical_formula_sum 'Ho4 Os8'
_space_group_name_H-M_alt 'P 63/m m c'
_space_group_IT_number 194
_space_group_name_Hall '-P 6c 2c'
_cell_length_a 5.3036
_cell_length_b 5.3036
_cell_length_c 8.8486
_cell_angle_alpha 90.00
_cell_angle_beta 90.00
_cell_angle_gamma 120.00
loop_
_atom_site_label
_atom_site_type_symbol
_atom_site_fract_x
_atom_site_fract_y
_atom_site_fract_z
_atom_site_occupancy
Ho1 Ho 0.3333 0.6667 0.0648 1
Os1 Os 0.0000 0.0000 0.0000 1
Os2 Os 0.1717 0.3433 0.7500 1
# Formation enthalpy at 0 K, eV/f.u.: -0.99
# Total moment, Bohr magnetons per cell: 0.00
# Crystal system: hexagonal

# RhSe2Br, relaxed, DFT PBE
data_RhSe2Br
_chemical_formula_sum 'Rh2 Se4 Br2'
_space_group_name_H-M_alt 'C m m m'
_space_group_IT_number 65
_space_group_name_Hall '-C 2 2'
_cell_length_a 5.2580
_cell_length_b 9.4167
_cell_length_c 3.2053
_cell_angle_alpha 90.00
_cell_angle_beta 90.00
_cell_angle_gamma 90.00
loop_
_atom_site_label
_atom_site_type_symbol
_atom_site_fract_x
_atom_site_fract_y
_atom_site_fract_z
_atom_site_occupancy
Rh1 Rh 0.0000 0.0000 0.0000 1
Se1 Se 0.2500 0.2500 0.5000 1
Br1 Br 0.0000 0.5000 0.0000 1
# Total moment, Bohr magnetons per cell: 0.00
# Relative energy among the computed polymorphs, eV per atom: 0.956
# Formation energy (no corrections), kcal/mol of atoms: 14.86
# Crystal system: orthorhombic

# PrMnSi2, relaxed, DFT PBE
data_PrMnSi2
_chemical_formula_sum 'Pr4 Mn4 Si8'
_space_group_name_H-M_alt 'P n m a'
_space_group_IT_number 62
_cell_length_a 7.3464
_cell_length_b 3.9290
_cell_length_c 10.1644
_cell_angle_alpha 90.00
_cell_angle_beta 90.00
_cell_angle_gamma 90.00
loop_
_space_group_symop_operation_xyz
'x,y,z'
'-x,-y,-z'
'-x+1/2,-y,z+1/2'
'x+1/2,y,-z+1/2'
'x+1/2,-y+1/2,-z+1/2'
'-x+1/2,y+1/2,z+1/2'
'-x,y+1/2,-z'
'x,-y+1/2,z'
loop_
_atom_site_label
_atom_site_type_symbol
_atom_site_fract_x
_atom_site_fract_y
_atom_site_fract_z
_atom_site_occupancy
Pr1 Pr 0.1368 0.2500 0.1294 1
Mn1 Mn 0.0074 0.7500 0.3940 1
Si1 Si 0.1710 0.2500 0.8132 1
Si2 Si 0.2019 0.2500 0.4308 1
# Total moment, Bohr magnetons per cell: 8.80
# Formation energy (no corrections), kcal/mol of atoms: -12.96
# Crystal system: orthorhombic

# TiNb2CdH, relaxed, DFT PBE
data_TiNb2CdH
_chemical_formula_sum 'Ti1 Nb2 Cd1 H1'
_space_group_name_H-M_alt 'P 4/m m m'
_space_group_IT_number 123
_space_group_name_Hall '-P 4 2'
_cell_length_a 4.1001
_cell_length_b 4.1001
_cell_length_c 4.4699
_cell_angle_alpha 90.00
_cell_angle_beta 90.00
_cell_angle_gamma 90.00
loop_
_atom_site_label
_atom_site_type_symbol
_atom_site_fract_x
_atom_site_fract_y
_atom_site_fract_z
_atom_site_occupancy
Ti1 Ti 0.0000 0.0000 0.0000 1
Nb1 Nb 0.0000 0.5000 0.5000 1
Cd1 Cd 0.5000 0.5000 0.0000 1
H1 H 0.0000 0.0000 0.5000 1
# Total moment, Bohr magnetons per cell: 0.00
# Crystal system: tetragonal
# Energy, eV/atom: -6.509